Compound: AgMoIO2
Source: Alexandria
Functional: PBE with a Hubbard U
Structure: relaxed

Lattice parameters (Å, degrees): 4.1810 4.1810 6.0211 90.00 90.00 90.00
Atoms (fractional coordinates):
I 0.0000 0.0000 0.5000
Mo 0.5000 0.5000 0.5000
O 0.0000 0.5000 0.0000
O 0.5000 0.0000 0.0000
Ag 0.0000 0.0000 0.0000

Properties
**DOS(E_F)**: 4.53 states/eV/f.u.
**Total energy**: -18.29 eV for the cell shown
**Space-group type**: No. 123
**Energy relative to the lowest polymorph listed for this composition**: 1.295 eV per atom